Entry 1:
Ce5Tl2Rh: optimized geometry, PBE.

ΔH_f (0 K) = -0.270 eV per atom
Energy above the lowest structure with this stoichiometry = 0 meV per atom
E = -5.49 eV per atom

The structure in CIF format:
```
data_Ce5Tl2Rh
_space_group_name_H-M_alt 'P b a m'
_space_group_IT_number 55
_cell_length_a 7.680
_cell_length_b 12.310
_cell_length_c 4.859
_cell_angle_alpha 90.00
_cell_angle_beta 90.00
_cell_angle_gamma 90.00
loop_
_space_group_symop_operation_xyz
'x,y,z'
'-x,-y,-z'
'-x,-y,z'
'x,y,-z'
'x+1/2,-y+1/2,-z'
'-x+1/2,y+1/2,z'
'-x+1/2,y+1/2,-z'
'x+1/2,-y+1/2,z'
loop_
_atom_site_label
_atom_site_type_symbol
_atom_site_fract_x
_atom_site_fract_y
_atom_site_fract_z
Ce1 Ce 0.000 0.000 0.000
Ce2 Ce 0.124 0.296 0.000
Ce3 Ce 0.196 0.566 0.500
Tl1 Tl 0.094 0.828 0.500
Rh1 Rh 0.000 0.500 0.000
```

Entry 2:
Ce4Tl3Rh: optimized geometry, PBE.

ΔH_f (0 K) = -0.225 eV per atom
E = -5.00 eV per atom

The structure in CIF format:
```
data_Ce4Tl3Rh
_space_group_name_H-M_alt 'P m n 21'
_space_group_IT_number 31
_cell_length_a 10.873
_cell_length_b 6.516
_cell_length_c 6.149
_cell_angle_alpha 90.00
_cell_angle_beta 90.00
_cell_angle_gamma 90.00
loop_
_space_group_symop_operation_xyz
'x,y,z'
'-x+1/2,-y,z+1/2'
'-x,y,z'
'x+1/2,-y,z+1/2'
loop_
_atom_site_label
_atom_site_type_symbol
_atom_site_fract_x
_atom_site_fract_y
_atom_site_fract_z
Ce1 Ce 0.000 0.043 0.000
Ce2 Ce 0.000 0.393 0.282
Ce3 Ce 0.205 0.214 0.797
Tl1 Tl 0.000 0.884 0.490
Tl2 Tl 0.205 0.713 0.810
Rh1 Rh 0.000 0.452 0.718
```

Entry 3:
Ce4TlRh2: optimized geometry, PBE.

ΔH_f (0 K) = -0.398 eV per atom
E = -6.23 eV per atom

The structure in CIF format:
```
data_Ce4TlRh2
_space_group_name_H-M_alt 'R -3 m'
_space_group_IT_number 166
_space_group_name_Hall '-R 3 2"'
_cell_length_a 4.0607
_cell_length_b 4.0607
_cell_length_c 40.0787
_cell_angle_alpha 90.00
_cell_angle_beta 90.00
_cell_angle_gamma 120.00
loop_
_atom_site_label
_atom_site_type_symbol
_atom_site_fract_x
_atom_site_fract_y
_atom_site_fract_z
Ce1 Ce 0.0000 0.0000 0.1055
Ce2 Ce 0.0000 0.0000 0.3055
Tl1 Tl 0.0000 0.0000 0.5000
Rh1 Rh 0.0000 0.0000 0.3979
```

Entry 4:
Ce2TlRh: optimized geometry, PBE.

ΔH_f (0 K) = -0.446 eV per atom
Energy above the lowest structure with this stoichiometry = 0 meV per atom
E = -5.84 eV per atom

The structure in CIF format:
```
data_Ce2TlRh
_space_group_name_H-M_alt 'P 4/m m m'
_space_group_IT_number 123
_space_group_name_Hall '-P 4 2'
_cell_length_a 3.748
_cell_length_b 3.748
_cell_length_c 6.995
_cell_angle_alpha 90.00
_cell_angle_beta 90.00
_cell_angle_gamma 90.00
loop_
_atom_site_label
_atom_site_type_symbol
_atom_site_fract_x
_atom_site_fract_y
_atom_site_fract_z
Ce1 Ce 0.000 0.000 0.201
Tl1 Tl 0.500 0.500 0.500
Rh1 Rh 0.500 0.500 0.000
```

Entry 5:
Ce3TlRh: optimized geometry, PBE.

ΔH_f (0 K) = -0.341 eV per atom
Energy above the lowest structure with this stoichiometry = 7 meV per atom
E = -5.84 eV per atom

The structure in CIF format:
```
data_Ce3TlRh
_space_group_name_H-M_alt 'P 1 21/m 1'
_space_group_IT_number 11
_cell_length_a 3.571
_cell_length_b 11.180
_cell_length_c 6.970
_cell_angle_alpha 90.00
_cell_angle_beta 104.83
_cell_angle_gamma 90.00
loop_
_space_group_symop_operation_xyz
'x,y,z'
'-x,-y,-z'
'-x,y+1/2,-z'
'x,-y+1/2,z'
loop_
_atom_site_label
_atom_site_type_symbol
_atom_site_fract_x
_atom_site_fract_y
_atom_site_fract_z
Ce1 Ce 0.026 0.250 0.050
Ce2 Ce 0.342 0.024 0.684
Tl1 Tl 0.255 0.750 0.511
Rh1 Rh 0.000 0.000 0.000
```

Entry 6:
Ce5Tl2Rh: optimized geometry, PBE.

ΔH_f (0 K) = -0.219 eV per atom
Energy above the lowest structure with this stoichiometry = 51 meV per atom
E = -5.44 eV per atom

The structure in CIF format:
```
data_Ce5Tl2Rh
_space_group_name_H-M_alt 'P 1'
_space_group_IT_number 1
_cell_length_a 6.485
_cell_length_b 6.488
_cell_length_c 6.566
_cell_angle_alpha 108.12
_cell_angle_beta 107.72
_cell_angle_gamma 111.68
loop_
_space_group_symop_operation_xyz
'x,y,z'
loop_
_atom_site_label
_atom_site_type_symbol
_atom_site_fract_x
_atom_site_fract_y
_atom_site_fract_z
Ce1 Ce 0.000 0.000 0.000
Ce2 Ce 0.003 0.485 0.496
Ce3 Ce 0.486 0.969 0.455
Ce4 Ce 0.517 0.484 0.999
Ce5 Ce 0.554 0.038 0.912
Tl1 Tl 0.014 0.993 0.508
Tl2 Tl 0.511 0.497 0.506
Rh1 Rh 0.129 0.613 0.963
```